MgTlMo2: relaxed, GGA-PBEsol.

Lattice parameters (Å, degrees): 9.4354 2.8219 5.2878 90.00 94.57 90.00
Last column: nearest neighbours and their distance in Å.
Space group Cm (No. 8)
Unique sites:
Mg1 0.0000 0.0000 0.0000 x2  3 Tl 2.76-2.95, 2 Mg 2.82, 5 Mo 2.86-3.00
Tl1 0.2495 0.0000 0.7621 x2  3 Mg 2.76-2.95, 2 Tl 2.82, 7 Mo 2.96-3.03
Mo1 0.0068 0.5000 0.4759 x2  3 Mo 2.61-2.82, 2 Mg 2.88
Mo2 0.2493 0.5000 0.2700 x2  3 Mo 2.61-2.82, 1 Mg 2.86

Its crystal system is monoclinic. The energy above the most stable polymorph in this dataset comes out at 0.010 eV per atom. Its density of states at the Fermi level is 0.728 states/eV/atom. Its formation energy is 2.1 eV per formula unit. The calculation puts the magnetization at 0.00 Bohr magnetons per cell.